# Dy2Zr3ScN6

A relaxed Dy2Zr3ScN6 crystal (PBE, Alexandria).

Lattice parameters (Å, degrees): 5.729 5.729 5.768 99.57 99.57 119.91
Fractional coordinates of all 12 atoms:
1 Dy 0.167 0.833 0.000
2 Dy 0.833 0.167 0.000
3 Zr 0.000 0.000 0.500
4 Zr 0.335 0.665 0.500
5 Zr 0.665 0.335 0.500
6 Sc 0.500 0.500 0.000
7 N 0.088 0.413 0.739
8 N 0.262 0.262 0.261
9 N 0.413 0.088 0.739
10 N 0.587 0.912 0.261
11 N 0.738 0.738 0.739
12 N 0.912 0.587 0.261

**Energy relative to the elements, uncorrected**: -1.75 eV/atom
**Calculated volume**: 12.899 A^3/atom
**Magnetic moment**: 0.000 μB per formula unit
**Uncorrected energy**: -9.34 eV per atom


# DyZr2Sc3N6

A relaxed DyZr2Sc3N6 crystal (PBE, Alexandria).

Lattice parameters (Å, degrees): 7.288 7.288 6.530 102.69 102.69 25.89
Fractional coordinates of all 12 atoms:
1 Dy 0.000 0.000 0.000
2 Zr 0.333 0.333 0.665
3 Zr 0.667 0.667 0.335
4 Sc 0.000 0.000 0.500
5 Sc 0.333 0.333 0.167
6 Sc 0.667 0.667 0.833
7 N 0.167 0.167 0.584
8 N 0.172 0.172 0.088
9 N 0.498 0.498 0.737
10 N 0.502 0.502 0.263
11 N 0.828 0.828 0.912
12 N 0.833 0.833 0.416

**Energy relative to the elements, uncorrected**: -1.82 eV/atom
**Calculated volume**: 12.294 A^3/atom
**Magnetic moment**: 0.000 μB per formula unit
**Uncorrected energy**: -9.37 eV per atom


# DyZr3Sc2N6

A relaxed DyZr3Sc2N6 crystal (PBE, Alexandria).

Lattice parameters (Å, degrees): 5.662 5.662 5.686 99.61 99.61 119.89
Fractional coordinates of all 12 atoms:
1 Dy 0.000 0.000 0.000
2 Zr 0.168 0.832 0.500
3 Zr 0.500 0.500 0.500
4 Zr 0.832 0.168 0.500
5 Sc 0.333 0.667 0.000
6 Sc 0.667 0.333 0.000
7 N 0.085 0.428 0.255
8 N 0.258 0.258 0.746
9 N 0.428 0.085 0.255
10 N 0.572 0.915 0.745
11 N 0.742 0.742 0.254
12 N 0.915 0.572 0.745

**Energy relative to the elements, uncorrected**: -1.78 eV/atom
**Calculated volume**: 12.418 A^3/atom
**Magnetic moment**: 0.000 μB per formula unit
**Uncorrected energy**: -9.52 eV per atom


# Dy2ZrScN4

A relaxed Dy2ZrScN4 crystal (PBE, Alexandria).

Lattice parameters (Å, degrees): 5.775 3.338 5.810 90.00 109.27 90.00
Fractional coordinates of all 8 atoms:
1 Dy 0.000 0.000 0.000
2 Dy 0.500 0.500 0.000
3 Zr 0.000 0.500 0.500
4 Sc 0.500 0.000 0.500
5 N 0.243 0.000 0.733
6 N 0.253 0.500 0.267
7 N 0.747 0.500 0.733
8 N 0.757 0.000 0.267

**Energy relative to the elements, uncorrected**: -1.77 eV/atom
**Calculated volume**: 13.217 A^3/atom
**Magnetic moment**: 0.000 μB per formula unit
**Uncorrected energy**: -8.95 eV per atom


# Dy3Se2N

A relaxed Dy3Se2N crystal (PBE, Alexandria).

Lattice parameters (Å, degrees): 7.906 7.906 5.558 90.00 90.00 60.50
Fractional coordinates of all 12 atoms:
1 Dy 0.122 0.878 0.750
2 Dy 0.133 0.575 0.250
3 Dy 0.425 0.867 0.250
4 Dy 0.575 0.133 0.750
5 Dy 0.867 0.425 0.750
6 Dy 0.878 0.122 0.250
7 Se 0.198 0.489 0.750
8 Se 0.489 0.198 0.250
9 Se 0.511 0.802 0.750
10 Se 0.802 0.511 0.250
11 N 0.158 0.842 0.250
12 N 0.842 0.158 0.750

**Energy relative to the elements, uncorrected**: -1.52 eV/atom
**Calculated volume**: 25.199 A^3/atom
**Energy relative to the lowest polymorph listed for this composition**: 125 meV/atom
**Magnetic moment**: 0.000 μB per formula unit
**Uncorrected energy**: -6.37 eV per atom


# Dy5Se5N2

A relaxed Dy5Se5N2 crystal (PBE, Alexandria).

Lattice parameters (Å, degrees): 6.807 6.807 10.855 104.10 104.10 32.93
Fractional coordinates of all 12 atoms:
1 Dy 0.000 0.000 0.000
2 Dy 0.094 0.094 0.364
3 Dy 0.353 0.353 0.202
4 Dy 0.647 0.647 0.798
5 Dy 0.906 0.906 0.636
6 Se 0.246 0.246 0.633
7 Se 0.336 0.336 0.928
8 Se 0.500 0.500 0.500
9 Se 0.664 0.664 0.072
10 Se 0.754 0.754 0.367
11 N 0.045 0.045 0.800
12 N 0.955 0.955 0.200

**Energy relative to the elements, uncorrected**: -1.67 eV/atom
**Calculated volume**: 22.040 A^3/atom
**Magnetic moment**: 0.000 μB per formula unit
**Uncorrected energy**: -6.42 eV per atom


# Dy4Se3N

A relaxed Dy4Se3N crystal (PBE, Alexandria).

Lattice parameters (Å, degrees): 9.676 7.578 5.607 90.00 90.00 90.00
Fractional coordinates of all 16 atoms:
1 Dy 0.000 0.138 0.000
2 Dy 0.000 0.853 0.484
3 Dy 0.214 0.255 0.475
4 Dy 0.286 0.745 0.975
5 Dy 0.500 0.147 0.984
6 Dy 0.500 0.862 0.500
7 Dy 0.714 0.745 0.975
8 Dy 0.786 0.255 0.475
9 Se 0.000 0.764 0.988
10 Se 0.239 0.351 0.977
11 Se 0.261 0.649 0.477
12 Se 0.500 0.236 0.488
13 Se 0.739 0.649 0.477
14 Se 0.761 0.351 0.977
15 N 0.000 0.148 0.427
16 N 0.500 0.852 0.927

**Energy relative to the elements, uncorrected**: -1.53 eV/atom
**Calculated volume**: 25.695 A^3/atom
**Magnetic moment**: 0.000 μB per formula unit
**Uncorrected energy**: -6.18 eV per atom


# Dy3SeN2

A relaxed Dy3SeN2 crystal (PBE, Alexandria).

Lattice parameters (Å, degrees): 6.650 6.650 9.705 90.00 90.00 147.32
Fractional coordinates of all 12 atoms:
1 Dy 0.060 0.940 0.750
2 Dy 0.381 0.619 0.564
3 Dy 0.381 0.619 0.936
4 Dy 0.619 0.381 0.064
5 Dy 0.619 0.381 0.436
6 Dy 0.940 0.060 0.250
7 Se 0.258 0.742 0.250
8 Se 0.742 0.258 0.750
9 N 0.000 0.000 0.000
10 N 0.000 0.000 0.500
11 N 0.469 0.531 0.750
12 N 0.531 0.469 0.250

**Energy relative to the elements, uncorrected**: -1.53 eV/atom
**Calculated volume**: 19.314 A^3/atom
**Magnetic moment**: 0.003 μB per formula unit
**Uncorrected energy**: -7.19 eV per atom


# Dy4Se2N

A relaxed Dy4Se2N crystal (PBE, Alexandria).

Lattice parameters (Å, degrees): 4.600 4.600 14.898 90.00 90.00 90.00
Fractional coordinates of all 14 atoms:
1 Dy 0.000 0.000 0.171
2 Dy 0.000 0.000 0.829
3 Dy 0.000 0.500 0.000
4 Dy 0.000 0.500 0.500
5 Dy 0.500 0.000 0.000
6 Dy 0.500 0.000 0.500
7 Dy 0.500 0.500 0.329
8 Dy 0.500 0.500 0.671
9 Se 0.000 0.000 0.366
10 Se 0.000 0.000 0.634
11 Se 0.500 0.500 0.134
12 Se 0.500 0.500 0.866
13 N 0.000 0.000 0.000
14 N 0.500 0.500 0.500

**Energy relative to the elements, uncorrected**: -1.12 eV/atom
**Calculated volume**: 22.515 A^3/atom
**Magnetic moment**: 0.000 μB per formula unit
**Uncorrected energy**: -5.94 eV per atom


# Dy3Se2N

A relaxed Dy3Se2N crystal (PBE, Alexandria).

Lattice parameters (Å, degrees): 3.890 3.890 16.844 90.00 90.00 90.00
Fractional coordinates of all 12 atoms:
1 Dy 0.000 0.000 0.000
2 Dy 0.000 0.000 0.365
3 Dy 0.000 0.000 0.635
4 Dy 0.500 0.500 0.135
5 Dy 0.500 0.500 0.500
6 Dy 0.500 0.500 0.865
7 Se 0.000 0.000 0.172
8 Se 0.000 0.000 0.828
9 Se 0.500 0.500 0.328
10 Se 0.500 0.500 0.672
11 N 0.000 0.000 0.500
12 N 0.500 0.500 0.000

**Energy relative to the elements, uncorrected**: -1.64 eV/atom
**Calculated volume**: 21.240 A^3/atom
**Energy relative to the lowest polymorph listed for this composition**: 0 meV/atom
**Magnetic moment**: 0.000 μB per formula unit
**Uncorrected energy**: -6.49 eV per atom


# Dy5Se4N

A relaxed Dy5Se4N crystal (PBE, Alexandria).

Lattice parameters (Å, degrees): 14.581 14.581 14.581 164.42 164.42 22.10
Fractional coordinates of all 10 atoms:
1 Dy 0.000 0.000 0.000
2 Dy 0.207 0.207 0.000
3 Dy 0.421 0.421 0.000
4 Dy 0.579 0.579 0.000
5 Dy 0.793 0.793 0.000
6 Se 0.100 0.100 0.000
7 Se 0.309 0.309 0.000
8 Se 0.691 0.691 0.000
9 Se 0.900 0.900 0.000
10 N 0.500 0.500 0.000

**Energy relative to the elements, uncorrected**: -1.67 eV/atom
**Calculated volume**: 22.364 A^3/atom
**Magnetic moment**: 0.000 μB per formula unit
**Uncorrected energy**: -6.20 eV per atom


# Dy5Se5N

A relaxed Dy5Se5N crystal (PBE, Alexandria).

Lattice parameters (Å, degrees): 6.877 6.877 7.865 107.30 107.30 48.51
Fractional coordinates of all 11 atoms:
1 Dy 0.000 0.000 0.000
2 Dy 0.351 0.351 0.151
3 Dy 0.352 0.352 0.699
4 Dy 0.648 0.648 0.301
5 Dy 0.649 0.649 0.849
6 Se 0.163 0.163 0.823
7 Se 0.175 0.175 0.335
8 Se 0.500 0.500 0.500
9 Se 0.825 0.825 0.665
10 Se 0.837 0.837 0.177
11 N 0.500 0.500 0.000

**Energy relative to the elements, uncorrected**: -1.75 eV/atom
**Calculated volume**: 23.942 A^3/atom
**Magnetic moment**: 0.000 μB per formula unit
**Uncorrected energy**: -6.18 eV per atom


What did the eighth record say?
# Dy3SeN2

A relaxed Dy3SeN2 crystal (PBE, Alexandria).

Lattice parameters (Å, degrees): 6.650 6.650 9.705 90.00 90.00 147.32
Fractional coordinates of all 12 atoms:
1 Dy 0.060 0.940 0.750
2 Dy 0.381 0.619 0.564
3 Dy 0.381 0.619 0.936
4 Dy 0.619 0.381 0.064
5 Dy 0.619 0.381 0.436
6 Dy 0.940 0.060 0.250
7 Se 0.258 0.742 0.250
8 Se 0.742 0.258 0.750
9 N 0.000 0.000 0.000
10 N 0.000 0.000 0.500
11 N 0.469 0.531 0.750
12 N 0.531 0.469 0.250

**Energy relative to the elements, uncorrected**: -1.53 eV/atom
**Calculated volume**: 19.314 A^3/atom
**Magnetic moment**: 0.003 μB per formula unit
**Uncorrected energy**: -7.19 eV per atom


What is the energy relative to the elements, uncorrected in the fourth record?
-1.77 eV/atom